# 1
## Ca2PaCl8 (PBE)

Data for a relaxed Ca2PaCl8 crystal.

Cell lengths 7.3215, 7.3215, 6.5310 Å; angles 103.47, 103.47, 76.14 degrees
Fractional coordinates of all 11 atoms:
Ca 0.1622 0.1622 0.4417
Ca 0.8378 0.8378 0.5583
Pa 0.5000 0.5000 0.0000
Cl 0.0730 0.0730 0.7735
Cl 0.1569 0.5481 0.7367
Cl 0.3573 0.3573 0.2441
Cl 0.4519 0.8431 0.2633
Cl 0.5481 0.1569 0.7367
Cl 0.6427 0.6427 0.7559
Cl 0.8431 0.4519 0.2633
Cl 0.9270 0.9270 0.2265

Formation energy from raw total energies = -23.10 eV per formula unit
ΔE to the lowest computed polymorph = 0.000 eV per atom

***

# 2
## Ca2PaCl8 (PBE)

Data for a relaxed Ca2PaCl8 crystal.

Cell lengths 7.1355, 7.1355, 6.6579 Å; angles 95.03, 95.03, 114.80 degrees
Fractional coordinates of all 11 atoms:
Ca 0.1935 0.8065 0.0000
Ca 0.8065 0.1935 0.0000
Pa 0.5000 0.5000 0.5000
Cl 0.1581 0.4255 0.8479
Cl 0.1732 0.1732 0.2887
Cl 0.2864 0.7136 0.5000
Cl 0.4255 0.1581 0.8479
Cl 0.5745 0.8419 0.1521
Cl 0.7136 0.2864 0.5000
Cl 0.8268 0.8268 0.7113
Cl 0.8419 0.5745 0.1521

Formation energy from raw total energies = -21.35 eV per formula unit
ΔE to the lowest computed polymorph = 0.159 eV per atom

***

# 3
## Ca3PbCl (PBE)

Data for a relaxed Ca3PbCl crystal.

Cell lengths 5.3176, 5.3176, 5.3176 Å; angles 90.00, 90.00, 90.00 degrees
Fractional coordinates of all 5 atoms:
Ca 0.0000 0.0000 0.5000
Ca 0.0000 0.5000 0.0000
Ca 0.5000 0.0000 0.0000
Pb 0.5000 0.5000 0.5000
Cl 0.0000 0.0000 0.0000

Formation energy from raw total energies = -3.70 eV per formula unit
ΔE to the lowest computed polymorph = 0.000 eV per atom

***

# 4
## CaPb2Cl (PBE)

Data for a relaxed CaPb2Cl crystal.

Cell lengths 7.3432, 7.3076, 4.3498 Å; angles 73.18, 72.28, 34.54 degrees
Fractional coordinates of all 4 atoms:
Ca 0.0000 0.0000 0.0000
Pb 0.0000 0.5000 0.5000
Pb 0.5000 0.0000 0.0000
Cl 0.5000 0.5000 0.5000

Formation energy from raw total energies = -2.55 eV per formula unit
ΔE to the lowest computed polymorph = 0.224 eV per atom

***

# 5
## Ca2PbCl (PBE)

Data for a relaxed Ca2PbCl crystal.

Cell lengths 6.9600, 6.9600, 6.9600 Å; angles 110.87, 110.87, 106.71 degrees
Fractional coordinates of all 8 atoms:
Ca 0.0855 0.6250 0.9605
Ca 0.3750 0.3355 0.4605
Ca 0.6645 0.1250 0.0395
Ca 0.8750 0.9145 0.5395
Pb 0.2500 0.7500 0.5000
Pb 0.5000 0.5000 0.0000
Cl 0.0000 0.0000 0.0000
Cl 0.7500 0.2500 0.5000

Formation energy from raw total energies = -3.70 eV per formula unit
ΔE to the lowest computed polymorph = 0.250 eV per atom

***

# 6
## CaPb2Cl (PBE)

Data for a relaxed CaPb2Cl crystal.

Cell lengths 8.3333, 8.3333, 8.3333 Å; angles 155.56, 149.13, 39.77 degrees
Fractional coordinates of all 4 atoms:
Ca 0.0000 0.0000 0.0000
Pb 0.1960 0.6960 0.5000
Pb 0.8040 0.3040 0.5000
Cl 0.5000 0.5000 0.0000

Formation energy from raw total energies = -3.28 eV per formula unit
ΔE to the lowest computed polymorph = 0.043 eV per atom

***

# 7
## CaPb2Cl (PBE)

Data for a relaxed CaPb2Cl crystal.

Cell lengths 10.5258, 10.5258, 10.5258 Å; angles 20.32, 20.32, 20.32 degrees
Fractional coordinates of all 4 atoms:
Ca 0.0000 0.0000 0.0000
Pb 0.2421 0.2421 0.2421
Pb 0.7579 0.7579 0.7579
Cl 0.5000 0.5000 0.5000

Formation energy from raw total energies = -1.08 eV per formula unit
ΔE to the lowest computed polymorph = 0.593 eV per atom

***

# 8
## CaPbCl2 (PBE)

Data for a relaxed CaPbCl2 crystal.

Cell lengths 3.4017, 3.4017, 12.0362 Å; angles 90.00, 90.00, 90.13 degrees
Fractional coordinates of all 4 atoms:
Ca 0.0000 0.0000 0.0000
Pb 0.0000 0.0000 0.5000
Cl 0.5000 0.5000 0.1307
Cl 0.5000 0.5000 0.8693

Formation energy from raw total energies = -5.62 eV per formula unit
ΔE to the lowest computed polymorph = 0.123 eV per atom

***

# 9
## Ca2PbCl (PBE)

Data for a relaxed Ca2PbCl crystal.

Cell lengths 4.9833, 4.9833, 8.9969 Å; angles 118.16, 118.16, 44.93 degrees
Fractional coordinates of all 4 atoms:
Ca 0.1787 0.1787 0.2756
Ca 0.8213 0.8213 0.7244
Pb 0.0000 0.0000 0.5000
Cl 0.5000 0.5000 0.0000

Formation energy from raw total energies = -4.43 eV per formula unit
ΔE to the lowest computed polymorph = 0.068 eV per atom

***

# 10
## CaPbCl2 (PBE)

Data for a relaxed CaPbCl2 crystal.

Cell lengths 3.7241, 4.5965, 6.2982 Å; angles 90.00, 90.00, 90.00 degrees
Fractional coordinates of all 4 atoms:
Ca 0.0000 0.0000 0.0000
Pb 0.5000 0.0000 0.5000
Cl 0.0000 0.5000 0.5000
Cl 0.5000 0.5000 0.0000

Formation energy from raw total energies = -4.74 eV per formula unit
ΔE to the lowest computed polymorph = 0.342 eV per atom

***

# 11
## CaPbCl2 (PBE)

Data for a relaxed CaPbCl2 crystal.

Cell lengths 3.9005, 3.9005, 7.5732 Å; angles 90.00, 90.00, 90.00 degrees
Fractional coordinates of all 4 atoms:
Ca 0.0000 0.0000 0.0000
Pb 0.5000 0.5000 0.6312
Cl 0.0000 0.0000 0.3429
Cl 0.5000 0.5000 0.0419

Formation energy from raw total energies = -5.00 eV per formula unit
ΔE to the lowest computed polymorph = 0.276 eV per atom

***

# 12
## Ca2PbCl (PBE)

Data for a relaxed Ca2PbCl crystal.

Cell lengths 5.9188, 5.9188, 5.9188 Å; angles 139.32, 109.86, 84.38 degrees
Fractional coordinates of all 4 atoms:
Ca 0.2134 0.2134 0.0000
Ca 0.7866 0.7866 0.0000
Pb 0.5000 0.0000 0.5000
Cl 0.0000 0.5000 0.5000

Formation energy from raw total energies = -3.93 eV per formula unit
ΔE to the lowest computed polymorph = 0.193 eV per atom

***

Per-record E_tot, eV per atom: -4.670; -4.511; -3.053; -3.455; -3.316; -3.636; -3.086; -3.755; -3.498; -3.535; -3.601; -3.372